The following is a DFT calculation (PBE-GGA) of crystalline Ac3B2N4 at its relaxed geometry.

Output
raw formation energy	-27.6	kcal/mol of atoms
size of the total moment	0.00	μB/cell
DOS at the Fermi energy	0.96	states/eV/f.u.

a b c (Å): 6.8317 6.8317 6.8317
angles (deg): 147.76 122.03 67.91
Last column: nearest neighbours and their distance in Å.
Fractional coordinates of all 9 atoms:
Ac 0.0000 0.0000 0.0000  8 N 2.83, 4 B 3.04
Ac 0.2996 0.7996 0.5000  6 N 2.67-2.70
Ac 0.7004 0.2004 0.5000  6 N 2.67-2.70
B 0.3596 0.5000 0.8596  2 N 1.49
B 0.6404 0.5000 0.1404  2 N 1.49
N 0.1347 0.3854 0.7493  1 B 1.49
N 0.3639 0.6146 0.7493  1 B 1.49
N 0.6361 0.3854 0.2507  1 B 1.49
N 0.8653 0.6146 0.2507  1 B 1.49